VASP calculation (GGA-PBE) on an optimized crystal structure of CrP2CI.

The density comes out at 5051 kg/m³. As for the raw formation energy: 917 meV/atom. The value obtained for the total magnetic moment is 0.00 μB per formula unit. The density of states at the Fermi level is 2.4 states/eV/cell. The value obtained for the volume is 83 Å³ per cell.

The space group is P4/mmm (No. 123) and the conventional cell measures 4.6604, 4.6604 and 3.8277 Å, with angles of 90.00, 90.00 and 90.00 degrees. The distinct sites, in fractional coordinates, are Cr at (0.0000, 0.0000, 0.0000), P at (0.0000, 0.5000, 0.0000), C at (0.0000, 0.0000, 0.5000) and I at (0.5000, 0.5000, 0.5000).